The following is a DFT calculation (PBE+U) of a relaxed structure of LiMn2O6.

SG: No. 147
D(E_F): 3.61 states/eV/f.u.
E_tot: -5.847 eV/atom

a b c (Å): 5.7608 5.7608 2.8736
angles (deg): 90.00 90.00 120.00
Last column: nearest neighbours and their distance in Å.
Atoms (fractional coordinates):
1 Li 0.0000 0.0000 0.0000  6 O 2.18
2 Mn 0.3333 0.6667 0.2509  6 O 2.01-2.03
3 Mn 0.6667 0.3333 0.7491  6 O 2.01-2.03
4 O 0.1137 0.7128 0.7544  2 Mn 2.01-2.03, 1 Li 2.18
5 O 0.2872 0.4010 0.7544  2 Mn 2.01-2.03, 1 Li 2.18
6 O 0.4010 0.1137 0.2456  2 Mn 2.01-2.03, 1 Li 2.18
7 O 0.5990 0.8863 0.7544  2 Mn 2.01-2.03, 1 Li 2.18
8 O 0.7128 0.5990 0.2456  2 Mn 2.01-2.03, 1 Li 2.18
9 O 0.8863 0.2872 0.2456  2 Mn 2.01-2.03, 1 Li 2.18